This record from Alexandria describes a relaxed DyY2Hg crystal. The functional is GGA-PBE.

Lattice parameters (Å, degrees): 3.546 3.493 9.848 100.22 90.00 90.00
Atoms (fractional coordinates):
Y1 0.000 0.479 0.957
Y2 0.500 0.111 0.222
Dy1 0.000 0.269 0.537
Hg1 0.500 0.871 0.742

Properties
Formation energy: -0.108 eV/atom
E: -18.3 eV/cell
Spin magnetization: 0.788 Bohr magnetons per cell
Excess energy over the best structure of this formula in the dataset: 12.30 kJ per mole of atoms


This record from Alexandria describes a relaxed Dy8YHg2 crystal. The functional is GGA-PBE.

Lattice parameters (Å, degrees): 5.529 8.645 8.645 118.65 100.38 100.38
Atoms (fractional coordinates):
Hg1 0.000 0.306 0.694
Hg2 0.000 0.694 0.306
Y1 0.500 0.000 0.000
Dy1 0.300 0.602 0.602
Dy2 0.500 0.225 0.775
Dy3 0.894 0.679 0.908
Dy4 0.700 0.398 0.398
Dy5 0.894 0.908 0.679
Dy6 0.500 0.775 0.225
Dy7 0.106 0.092 0.321
Dy8 0.106 0.321 0.092

Properties
Formation energy: -0.047 eV/atom
E: -44.4 eV/cell
Spin magnetization: 0.000 Bohr magnetons per cell


This record from Alexandria describes a relaxed DyY2Hg4 crystal. The functional is GGA-PBE.

Lattice parameters (Å, degrees): 5.095 5.095 9.179 73.89 73.89 60.00
Atoms (fractional coordinates):
Hg1 0.874 0.874 0.379
Hg2 0.126 0.126 0.621
Hg3 0.625 0.625 0.124
Hg4 0.375 0.375 0.876
Y1 0.756 0.756 0.733
Y2 0.244 0.244 0.267
Dy1 0.000 0.000 0.000

Properties
Formation energy: -0.347 eV/atom
E: -21.2 eV/cell
Spin magnetization: 0.000 Bohr magnetons per cell


This record from Alexandria describes a relaxed Dy3YHg6 crystal. The functional is GGA-PBE.

Lattice parameters (Å, degrees): 5.149 9.173 11.101 106.53 90.00 90.00
Atoms (fractional coordinates):
Hg1 0.750 0.861 0.800
Hg2 0.750 0.756 0.488
Hg3 0.250 0.064 0.899
Hg4 0.750 0.350 0.298
Hg5 0.750 0.164 0.689
Hg6 0.750 0.936 0.101
Hg7 0.250 0.139 0.200
Hg8 0.750 0.536 0.909
Hg9 0.250 0.464 0.091
Hg10 0.250 0.836 0.311
Hg11 0.250 0.244 0.512
Hg12 0.250 0.650 0.702
Dy1 0.750 0.647 0.201
Dy2 0.750 0.484 0.613
Dy3 0.250 0.353 0.799
Dy4 0.250 0.516 0.387
Dy5 0.750 0.230 0.007
Dy6 0.250 0.770 0.993
Y1 0.250 0.938 0.610
Y2 0.750 0.062 0.390

Properties
Formation energy: -0.434 eV/atom
E: -52.8 eV/cell
Spin magnetization: 0.000 Bohr magnetons per cell